# 1
The following is a GGA-PBE calculation of a geometry-optimized Rb5In2Hg12 structure, from the Alexandria database.

abc: 10.8780 10.8780 8.2637
angles: 101.14 101.14 46.22
Fractional coordinates of all 19 atoms:
Rb: 0.0000 0.0000 0.0000
Rb: 0.2241 0.2241 0.9036
Rb: 0.2950 0.2950 0.4293
Rb: 0.7050 0.7050 0.5707
Rb: 0.7759 0.7759 0.0964
In: 0.2584 0.7416 0.5000
In: 0.7416 0.2584 0.5000
Hg: 0.0944 0.6112 0.7871
Hg: 0.1075 0.1075 0.4719
Hg: 0.2185 0.5804 0.1597
Hg: 0.3888 0.9056 0.2129
Hg: 0.4196 0.7815 0.8403
Hg: 0.4548 0.4548 0.7386
Hg: 0.5452 0.5452 0.2614
Hg: 0.5804 0.2185 0.1597
Hg: 0.6112 0.0944 0.7871
Hg: 0.7815 0.4196 0.8403
Hg: 0.8925 0.8925 0.5281
Hg: 0.9056 0.3888 0.2129

Output
- total energy (eV per formula unit) = -17.2
- total moment (μB per formula unit) = 0.00


# 2
The following is a GGA-PBE calculation of a geometry-optimized RbIn3Hg3 structure, from the Alexandria database.

abc: 8.3989 8.3989 8.3989
angles: 61.78 61.78 61.78
Fractional coordinates of all 14 atoms:
Rb: 0.1224 0.1224 0.1224
Rb: 0.8776 0.8776 0.8776
In: 0.1900 0.1900 0.5661
In: 0.1900 0.5661 0.1900
In: 0.4339 0.8100 0.8100
In: 0.5661 0.1900 0.1900
In: 0.8100 0.4339 0.8100
In: 0.8100 0.8100 0.4339
Hg: 0.1726 0.5782 0.5782
Hg: 0.4218 0.4218 0.8274
Hg: 0.4218 0.8274 0.4218
Hg: 0.5782 0.1726 0.5782
Hg: 0.5782 0.5782 0.1726
Hg: 0.8274 0.4218 0.4218

Output
- total energy (eV per formula unit) = -10.6
- offset from the most stable computed form (eV/f.u.) = 0.00
- total moment (μB per formula unit) = 0.00


# 3
The following is a GGA-PBE calculation of a geometry-optimized RbIn11Hg structure, from the Alexandria database.

abc: 8.3835 8.3835 8.2790
angles: 97.80 97.80 135.64
Fractional coordinates of all 13 atoms:
Rb: 0.0000 0.0000 0.0000
In: 0.0000 0.0000 0.5000
In: 0.0000 0.5000 0.0000
In: 0.0044 0.3606 0.3597
In: 0.2852 0.4998 0.7827
In: 0.3606 0.0044 0.3597
In: 0.5000 0.0000 0.0000
In: 0.4998 0.2852 0.7827
In: 0.5002 0.7148 0.2173
In: 0.6394 0.9956 0.6403
In: 0.7148 0.5002 0.2173
In: 0.9956 0.6394 0.6403
Hg: 0.5000 0.5000 0.5000

Output
- total energy (eV per formula unit) = -31.6
- total moment (μB per formula unit) = 0.00


# 4
The following is a GGA-PBE calculation of a geometry-optimized Rb2InHg2 structure, from the Alexandria database.

abc: 7.1868 7.1868 8.9696
angles: 100.59 100.59 60.26
Fractional coordinates of all 10 atoms:
Rb: 0.0226 0.2755 0.1421
Rb: 0.2755 0.0226 0.6421
Rb: 0.7245 0.9774 0.3579
Rb: 0.9774 0.7245 0.8579
In: 0.3971 0.6029 0.2500
In: 0.6029 0.3971 0.7500
Hg: 0.2252 0.5076 0.4982
Hg: 0.4924 0.7748 0.0018
Hg: 0.5076 0.2252 0.9982
Hg: 0.7748 0.4924 0.5018

Output
- total energy (eV per formula unit) = -6.3
- offset from the most stable computed form (eV/f.u.) = 0.00
- total moment (μB per formula unit) = 0.00


# 5
The following is a GGA-PBE calculation of a geometry-optimized Rb2InHg structure, from the Alexandria database.

abc: 7.1480 7.1480 6.8154
angles: 90.00 90.00 77.58
Fractional coordinates of all 8 atoms:
Rb: 0.0278 0.3275 0.2500
Rb: 0.3275 0.0278 0.7500
Rb: 0.6725 0.9722 0.2500
Rb: 0.9722 0.6725 0.7500
In: 0.5000 0.5000 0.0000
In: 0.5000 0.5000 0.5000
Hg: 0.2160 0.7840 0.2500
Hg: 0.7840 0.2160 0.7500

Output
- total energy (eV per formula unit) = -5.5
- offset from the most stable computed form (eV/f.u.) = 0.00
- total moment (μB per formula unit) = 0.00


# 6
The following is a GGA-PBE calculation of a geometry-optimized RbInHg3 structure, from the Alexandria database.

abc: 7.6568 7.6568 14.0243
angles: 90.00 90.00 120.00
Fractional coordinates of all 20 atoms:
Rb: 0.0000 0.0000 0.0000
Rb: 0.0000 0.0000 0.5000
Rb: 0.3333 0.6667 0.2500
Rb: 0.6667 0.3333 0.7500
In: 0.3333 0.6667 0.6370
In: 0.3333 0.6667 0.8630
In: 0.6667 0.3333 0.1370
In: 0.6667 0.3333 0.3630
Hg: 0.0000 0.5000 0.0000
Hg: 0.0000 0.5000 0.5000
Hg: 0.1326 0.2651 0.7500
Hg: 0.1326 0.8674 0.7500
Hg: 0.2651 0.1326 0.2500
Hg: 0.5000 0.0000 0.0000
Hg: 0.5000 0.0000 0.5000
Hg: 0.5000 0.5000 0.0000
Hg: 0.5000 0.5000 0.5000
Hg: 0.7349 0.8674 0.7500
Hg: 0.8674 0.1326 0.2500
Hg: 0.8674 0.7349 0.2500

Output
- total energy (eV per formula unit) = -5.3
- offset from the most stable computed form (eV/f.u.) = 0.00
- total moment (μB per formula unit) = 0.00


# 7
The following is a GGA-PBE calculation of a geometry-optimized RbIn2Hg9 structure, from the Alexandria database.

abc: 10.6461 10.6461 3.5134
angles: 90.00 90.00 120.00
Fractional coordinates of all 12 atoms:
Rb: 0.0000 0.0000 0.0000
In: 0.3333 0.6667 0.0000
In: 0.6667 0.3333 0.0000
Hg: 0.0000 0.5000 0.0000
Hg: 0.1769 0.3538 0.5000
Hg: 0.1769 0.8231 0.5000
Hg: 0.3538 0.1769 0.5000
Hg: 0.5000 0.0000 0.0000
Hg: 0.5000 0.5000 0.0000
Hg: 0.6462 0.8231 0.5000
Hg: 0.8231 0.1769 0.5000
Hg: 0.8231 0.6462 0.5000

Output
- total energy (eV per formula unit) = -10.0
- offset from the most stable computed form (eV/f.u.) = 0.13
- total moment (μB per formula unit) = 0.00


# 8
The following is a GGA-PBE calculation of a geometry-optimized Rb2In3Hg2 structure, from the Alexandria database.

abc: 6.6153 6.6153 8.8011
angles: 99.01 99.01 39.77
Fractional coordinates of all 7 atoms:
Rb: 0.1272 0.1272 0.3412
Rb: 0.8728 0.8728 0.6588
In: 0.1803 0.1803 0.9040
In: 0.5000 0.5000 0.0000
In: 0.8197 0.8197 0.0960
Hg: 0.4064 0.4064 0.3318
Hg: 0.5936 0.5936 0.6682

Output
- total energy (eV per formula unit) = -11.5
- total moment (μB per formula unit) = 0.00


# 9
The following is a GGA-PBE calculation of a geometry-optimized Rb2InHg2 structure, from the Alexandria database.

abc: 11.2703 11.2703 11.2703
angles: 157.25 157.25 32.40
Fractional coordinates of all 5 atoms:
Rb: 0.1093 0.1093 0.0000
Rb: 0.8907 0.8907 0.0000
In: 0.5000 0.5000 0.0000
Hg: 0.2500 0.7500 0.5000
Hg: 0.7500 0.2500 0.5000

Output
- total energy (eV per formula unit) = -5.5
- offset from the most stable computed form (eV/f.u.) = 0.77
- total moment (μB per formula unit) = 0.00


# 10
The following is a GGA-PBE calculation of a geometry-optimized RbIn3Hg3 structure, from the Alexandria database.

abc: 8.1333 8.1333 8.1333
angles: 90.00 90.00 90.00
Fractional coordinates of all 14 atoms:
Rb: 0.0000 0.0000 0.0000
Rb: 0.5000 0.5000 0.5000
In: 0.0000 0.2500 0.5000
In: 0.0000 0.7500 0.5000
In: 0.2500 0.5000 0.0000
In: 0.5000 0.0000 0.2500
In: 0.5000 0.0000 0.7500
In: 0.7500 0.5000 0.0000
Hg: 0.0000 0.5000 0.2500
Hg: 0.0000 0.5000 0.7500
Hg: 0.2500 0.0000 0.5000
Hg: 0.5000 0.2500 0.0000
Hg: 0.5000 0.7500 0.0000
Hg: 0.7500 0.0000 0.5000

Output
- total energy (eV per formula unit) = -9.9
- offset from the most stable computed form (eV/f.u.) = 0.71
- total moment (μB per formula unit) = 0.00


# 11
The following is a GGA-PBE calculation of a geometry-optimized RbInHg14 structure, from the Alexandria database.

abc: 11.0128 11.0128 11.0128
angles: 117.54 114.54 97.02
Fractional coordinates of all 32 atoms:
Rb: 0.3558 0.1058 0.2500
Rb: 0.6442 0.8942 0.7500
In: 0.0000 0.5000 0.5000
In: 0.5000 0.5000 0.0000
Hg: 0.0007 0.1268 0.6261
Hg: 0.0007 0.3746 0.8739
Hg: 0.0030 0.2251 0.0616
Hg: 0.0030 0.9414 0.7780
Hg: 0.1919 0.5571 0.3660
Hg: 0.1919 0.8259 0.6348
Hg: 0.2161 0.3234 0.6073
Hg: 0.2161 0.6087 0.8927
Hg: 0.3089 0.1741 0.8660
Hg: 0.3089 0.4429 0.1348
Hg: 0.3365 0.0586 0.5616
Hg: 0.3365 0.7749 0.2780
Hg: 0.4219 0.5183 0.5965
Hg: 0.4219 0.8254 0.9035
Hg: 0.5781 0.1746 0.0965
Hg: 0.5781 0.4817 0.4035
Hg: 0.6635 0.2251 0.7220
Hg: 0.6635 0.9414 0.4384
Hg: 0.6911 0.5571 0.8652
Hg: 0.6911 0.8259 0.1340
Hg: 0.7839 0.3913 0.1073
Hg: 0.7839 0.6766 0.3927
Hg: 0.8081 0.1741 0.3652
Hg: 0.8081 0.4429 0.6340
Hg: 0.9970 0.0586 0.2220
Hg: 0.9970 0.7749 0.9384
Hg: 0.9993 0.6254 0.1261
Hg: 0.9993 0.8732 0.3739

Output
- total energy (eV per formula unit) = -8.6
- total moment (μB per formula unit) = 0.00


# 12
The following is a GGA-PBE calculation of a geometry-optimized RbIn2Hg6 structure, from the Alexandria database.

abc: 9.0570 9.0570 9.0570
angles: 157.41 108.60 75.98
Fractional coordinates of all 9 atoms:
Rb: 0.0000 0.0000 0.0000
In: 0.3729 0.8729 0.5000
In: 0.6271 0.1271 0.5000
Hg: 0.0304 0.6895 0.3408
Hg: 0.3097 0.5000 0.8097
Hg: 0.3487 0.6895 0.6592
Hg: 0.6513 0.3105 0.3408
Hg: 0.6903 0.5000 0.1903
Hg: 0.9696 0.3105 0.6592

Output
- total energy (eV per formula unit) = -8.9
- total moment (μB per formula unit) = 0.00


# 13
The following is a GGA-PBE calculation of a geometry-optimized Rb2InHg7 structure, from the Alexandria database.

abc: 5.1207 5.1207 12.6429
angles: 90.00 90.00 90.00
Fractional coordinates of all 10 atoms:
Rb: 0.0000 0.5000 0.2491
Rb: 0.5000 0.0000 0.7509
In: 0.0000 0.0000 0.5000
Hg: 0.0000 0.0000 0.0000
Hg: 0.0000 0.5000 0.6267
Hg: 0.0000 0.5000 0.8627
Hg: 0.5000 0.0000 0.1373
Hg: 0.5000 0.0000 0.3733
Hg: 0.5000 0.5000 0.0000
Hg: 0.5000 0.5000 0.5000

Output
- total energy (eV per formula unit) = -8.5
- total moment (μB per formula unit) = 0.00


# 14
The following is a GGA-PBE calculation of a geometry-optimized RbInHg2S structure, from the Alexandria database.

abc: 5.7294 5.7294 5.3738
angles: 90.00 90.00 90.00
Fractional coordinates of all 5 atoms:
Rb: 0.0000 0.0000 0.0000
In: 0.5000 0.5000 0.5000
Hg: 0.0000 0.5000 0.5000
Hg: 0.5000 0.0000 0.5000
S: 0.5000 0.5000 0.0000

Output
- total energy (eV per formula unit) = -9.7
- ΔE_f (raw) (eV/atom) = -0.260
- total moment (μB per formula unit) = 0.00


# 15
The following is a GGA-PBE calculation of a geometry-optimized RbInHg2S4 structure, from the Alexandria database.

abc: 6.9091 6.9091 6.9091
angles: 121.85 108.65 98.77
Fractional coordinates of all 8 atoms:
Rb: 0.0000 0.0000 0.0000
In: 0.5000 0.5000 0.0000
Hg: 0.3201 0.8201 0.5000
Hg: 0.6799 0.1799 0.5000
S: 0.1593 0.1193 0.6089
S: 0.4896 0.8807 0.0401
S: 0.5104 0.5505 0.3911
S: 0.8407 0.4495 0.9599

Output
- total energy (eV per formula unit) = -25.2
- ΔE_f (raw) (eV/atom) = -0.544
- total moment (μB per formula unit) = 0.00


# 16
The following is a GGA-PBE calculation of a geometry-optimized Rb2InHg6Sb structure, from the Alexandria database.

abc: 15.1736 15.1736 15.1736
angles: 29.09 29.09 29.09
Fractional coordinates of all 20 atoms:
Rb: 0.1294 0.1294 0.1294
Rb: 0.2949 0.2949 0.2949
Rb: 0.7051 0.7051 0.7051
Rb: 0.8706 0.8706 0.8706
In: 0.0000 0.0000 0.0000
In: 0.5000 0.5000 0.5000
Hg: 0.0660 0.6596 0.6596
Hg: 0.1949 0.1949 0.7671
Hg: 0.1949 0.7671 0.1949
Hg: 0.2329 0.8051 0.8051
Hg: 0.3404 0.3404 0.9340
Hg: 0.3404 0.9340 0.3404
Hg: 0.6596 0.0660 0.6596
Hg: 0.6596 0.6596 0.0660
Hg: 0.7671 0.1949 0.1949
Hg: 0.8051 0.2329 0.8051
Hg: 0.8051 0.8051 0.2329
Hg: 0.9340 0.3404 0.3404
Sb: 0.4196 0.4196 0.4196
Sb: 0.5804 0.5804 0.5804

Output
- total energy (eV per formula unit) = -11.9
- ΔE_f (raw) (eV/atom) = -0.130
- total moment (μB per formula unit) = 0.00


# 17
The following is a GGA-PBE calculation of a geometry-optimized RbInHg2Sb structure, from the Alexandria database.

abc: 5.8477 5.8477 5.7860
angles: 90.00 90.00 90.00
Fractional coordinates of all 5 atoms:
Rb: 0.0000 0.0000 0.0000
In: 0.5000 0.5000 0.5000
Hg: 0.0000 0.5000 0.5000
Hg: 0.5000 0.0000 0.5000
Sb: 0.5000 0.5000 0.0000

Output
- total energy (eV per formula unit) = -8.6
- offset from the most stable computed form (eV/f.u.) = 0.88
- ΔE_f (raw) (eV/atom) = -0.038
- total moment (μB per formula unit) = 0.00


# 18
The following is a GGA-PBE calculation of a geometry-optimized Rb2In4Hg3Sb structure, from the Alexandria database.

abc: 5.1121 5.1121 12.4533
angles: 90.00 90.00 90.00
Fractional coordinates of all 10 atoms:
Rb: 0.0000 0.5000 0.2485
Rb: 0.5000 0.0000 0.7515
In: 0.0000 0.0000 0.5000
In: 0.0000 0.5000 0.8658
In: 0.5000 0.0000 0.1342
In: 0.5000 0.5000 0.5000
Hg: 0.0000 0.0000 0.0000
Hg: 0.0000 0.5000 0.6290
Hg: 0.5000 0.0000 0.3710
Sb: 0.5000 0.5000 0.0000

Output
- total energy (eV per formula unit) = -19.6
- ΔE_f (raw) (eV/atom) = -0.165
- total moment (μB per formula unit) = 0.00


# 19
The following is a GGA-PBE calculation of a geometry-optimized RbInHgSb structure, from the Alexandria database.

abc: 5.6638 5.6638 5.6638
angles: 60.00 60.00 60.00
Fractional coordinates of all 4 atoms:
Rb: 0.0000 0.0000 0.0000
In: 0.2500 0.2500 0.2500
Hg: 0.7500 0.7500 0.7500
Sb: 0.5000 0.5000 0.5000

Output
- total energy (eV per formula unit) = -8.4
- offset from the most stable computed form (eV/f.u.) = 0.49
- ΔE_f (raw) (eV/atom) = -0.077
- total moment (μB per formula unit) = 0.00


# 20
The following is a GGA-PBE calculation of a geometry-optimized RbInHg2Sb structure, from the Alexandria database.

abc: 7.2998 7.2998 7.2998
angles: 140.76 137.90 58.91
Fractional coordinates of all 5 atoms:
Rb: 0.0000 0.0000 0.0000
In: 0.2405 0.7405 0.5000
Hg: 0.6148 0.6148 0.0000
Hg: 0.7493 0.2493 0.5000
Sb: 0.3845 0.3845 0.0000

Output
- total energy (eV per formula unit) = -9.5
- offset from the most stable computed form (eV/f.u.) = 0.00
- ΔE_f (raw) (eV/atom) = -0.214
- total moment (μB per formula unit) = 0.00